#1
VASP calculation (PBE-GGA) on crystalline ZrTl3Sn at its relaxed geometry.

```
ZrTl3Sn
1.0
-4.593 -3.141 0.950
2.784 -2.864 3.990
-1.738 3.715 3.879
Tl Zr Sn
3 1 1
Direct
0.000 0.000 0.500
0.500 0.000 0.000
0.000 0.500 0.000
0.000 0.000 0.000
0.500 0.500 0.500
```

Calculated values
Spin magnetization, Bohr magnetons per cell: 0.00

---

#2
VASP calculation (PBE-GGA) on crystalline ZrTl3Sn at its relaxed geometry.

```
ZrTl3Sn
1.0
-0.428 -5.291 1.949
5.203 -1.124 -1.908
2.172 1.649 4.953
Tl Zr Sn
3 1 1
Direct
0.500 0.000 0.000
0.000 0.000 0.500
0.000 0.500 0.000
0.500 0.500 0.500
0.000 0.000 0.000
```

Calculated values
Spin magnetization, Bohr magnetons per cell: 1.79

---

#1 comes first in stability; the runner-up is 39.4 kJ/mol of atoms higher.

---

#1
VASP calculation (PBE-GGA) on crystalline Zr2Tl2Sn at its relaxed geometry.

```
Zr2Tl2Sn
1.0
-1.131 7.424 -0.388
-6.996 -0.930 2.595
1.500 0.448 4.206
Sn Zr Tl
2 4 4
Direct
0.000 0.000 0.000
0.500 0.500 0.000
0.153 0.347 0.000
0.847 0.653 0.000
0.653 0.153 0.000
0.347 0.847 0.000
0.654 0.846 0.500
0.154 0.654 0.500
0.346 0.154 0.500
0.846 0.346 0.500
```

Calculated values
Spin magnetization, Bohr magnetons per cell: 0.00

---

#2
VASP calculation (PBE-GGA) on crystalline Zr2Tl2Sn at its relaxed geometry.

```
Zr2Tl2Sn
1.0
8.862 0.000 0.000
0.000 8.862 0.000
0.000 0.000 3.238
Sn Tl Zr
2 4 4
Direct
0.500 0.500 0.000
0.000 0.000 0.000
0.830 0.670 0.000
0.670 0.170 0.000
0.330 0.830 0.000
0.170 0.330 0.000
0.627 0.873 0.500
0.127 0.627 0.500
0.873 0.373 0.500
0.373 0.127 0.500
```

Calculated values
Spin magnetization, Bohr magnetons per cell: 0.00

---

#1 comes first in stability; the runner-up is 19.3 kJ/mol of atoms higher.

---

#1
VASP calculation (PBE-GGA) on crystalline ZrTl2Sn at its relaxed geometry.

```
ZrTl2Sn
1.0
-4.641 -1.133 2.320
-4.548 0.828 -2.615
-2.879 -4.129 -1.695
Tl Zr Sn
2 1 1
Direct
0.750 0.750 0.750
0.250 0.250 0.250
0.000 0.000 0.000
0.500 0.500 0.500
```

Calculated values
Spin magnetization, Bohr magnetons per cell: 1.49

---

#2
VASP calculation (PBE-GGA) on crystalline ZrTl2Sn at its relaxed geometry.

```
ZrTl2Sn
1.0
-2.984 0.054 -1.385
-1.339 -2.784 -1.130
-6.451 -2.849 9.875
Sn Zr Tl
1 1 2
Direct
0.500 0.500 0.500
0.000 0.000 0.000
0.916 0.916 0.253
0.084 0.084 0.747
```

Calculated values
Spin magnetization, Bohr magnetons per cell: 0.00

---

#2 comes first in stability; the runner-up is 5.0 kJ/mol of atoms higher.

---

#1
VASP calculation (PBE-GGA) on crystalline Zr2TlSn2 at its relaxed geometry.

```
Zr2TlSn2
1.0
7.775 0.000 0.000
0.000 7.775 0.000
0.000 0.000 4.059
Zr Sn Tl
4 4 2
Direct
0.143 0.357 0.000
0.857 0.643 0.000
0.357 0.857 0.000
0.643 0.143 0.000
0.159 0.659 0.500
0.841 0.341 0.500
0.341 0.159 0.500
0.659 0.841 0.500
0.000 0.000 0.000
0.500 0.500 0.000
```

Calculated values
Spin magnetization, Bohr magnetons per cell: 0.29

---

#2
VASP calculation (PBE-GGA) on crystalline Zr2TlSn2 at its relaxed geometry.

```
Zr2TlSn2
1.0
-6.841 -3.497 4.487
-3.056 -3.660 -7.512
1.728 -2.636 0.581
Tl Zr Sn
2 4 4
Direct
0.000 0.000 0.000
0.500 0.500 0.000
0.372 0.128 0.500
0.872 0.372 0.500
0.628 0.872 0.500
0.128 0.628 0.500
0.335 0.835 0.000
0.835 0.665 0.000
0.165 0.335 0.000
0.665 0.165 0.000
```

Calculated values
Spin magnetization, Bohr magnetons per cell: 1.35

---

#1 comes first in stability; the runner-up is 7.3 kJ/mol of atoms higher.

---

#1
VASP calculation (PBE-GGA) on crystalline Zr3TlSn at its relaxed geometry.

```
Zr3TlSn
1.0
5.297 0.000 0.000
0.000 5.297 0.000
0.000 0.000 5.297
Sn Tl Zr
1 1 3
Direct
0.000 0.000 0.000
0.500 0.500 0.500
0.500 0.000 0.000
0.000 0.500 0.000
0.000 0.000 0.500
```

Calculated values
Spin magnetization, Bohr magnetons per cell: 0.00

---

#2
VASP calculation (PBE-GGA) on crystalline Zr3TlSn at its relaxed geometry.

```
Zr3TlSn
1.0
8.034 1.393 -0.630
5.149 6.323 -0.630
2.433 1.424 10.303
Zr Sn Tl
12 4 4
Direct
0.194 0.697 0.512
0.303 0.806 0.988
0.874 0.931 0.767
0.806 0.303 0.488
0.697 0.194 0.012
0.668 0.736 0.739
0.736 0.668 0.239
0.264 0.332 0.761
0.931 0.874 0.267
0.332 0.264 0.261
0.126 0.069 0.233
0.069 0.126 0.733
0.500 0.000 0.000
0.522 0.478 0.250
0.000 0.500 0.500
0.478 0.522 0.750
0.904 0.392 0.982
0.392 0.904 0.482
0.096 0.608 0.018
0.608 0.096 0.518
```

Calculated values
Spin magnetization, Bohr magnetons per cell: 0.00

---

#2 comes first in stability; the runner-up is 86.1 kJ/mol of atoms higher.

---

#1
VASP calculation (PBE-GGA) on crystalline ZrTlSn2 at its relaxed geometry.

```
ZrTlSn2
1.0
8.402 0.000 0.000
0.000 8.402 0.000
4.201 4.201 3.073
Sn Zr Tl
4 2 2
Direct
0.375 0.389 0.750
0.611 0.125 0.250
0.139 0.625 0.250
0.875 0.861 0.750
0.250 0.750 0.500
0.500 0.500 0.000
0.750 0.250 0.500
0.000 0.000 0.000
```

Calculated values
Spin magnetization, Bohr magnetons per cell: 0.00

---

#2
VASP calculation (PBE-GGA) on crystalline ZrTlSn2 at its relaxed geometry.

```
ZrTlSn2
1.0
0.000 3.738 3.738
3.738 0.000 3.738
3.738 3.738 0.000
Tl Sn Zr
1 2 1
Direct
0.500 0.500 0.500
0.250 0.250 0.250
0.750 0.750 0.750
0.000 0.000 0.000
```

Calculated values
Spin magnetization, Bohr magnetons per cell: 0.00

---

#1 comes first in stability; the runner-up is 2.8 kJ/mol of atoms higher.

---

#1
VASP calculation (PBE-GGA) on crystalline Tm4Sn3 at its relaxed geometry.

```
Tm4Sn3
1.0
-1.457 -3.890 0.532
0.976 -0.908 -3.969
10.290 -0.923 4.949
Tm Sn
4 3
Direct
0.158 0.158 0.316
0.568 0.568 0.137
0.842 0.842 0.684
0.432 0.432 0.863
0.000 0.000 0.000
0.299 0.299 0.598
0.701 0.701 0.402
```

Calculated values
Spin magnetization, Bohr magnetons per cell: 0.00

---

#2
VASP calculation (PBE-GGA) on crystalline Tm4Sn3 at its relaxed geometry.

```
Tm4Sn3
1.0
7.484 0.000 -2.646
-3.742 6.481 -2.646
0.000 0.000 7.938
Tm Sn
8 6
Direct
0.500 0.357 0.500
0.357 0.500 0.000
0.000 0.000 0.357
0.000 0.000 0.857
0.643 0.143 0.143
0.857 0.500 0.000
0.500 0.857 0.500
0.143 0.643 0.643
0.125 0.375 0.250
0.875 0.250 0.625
0.750 0.625 0.375
0.375 0.125 0.750
0.625 0.750 0.875
0.250 0.875 0.125
```

Calculated values
Spin magnetization, Bohr magnetons per cell: 0.00

---

#2 comes first in stability; the runner-up is 28.3 kJ/mol of atoms higher.

---

#1
VASP calculation (PBE-GGA) on crystalline TmSn4 at its relaxed geometry.

```
TmSn4
1.0
5.683 0.000 0.000
0.000 5.683 0.000
0.000 0.000 5.683
Sn Tm
4 1
Direct
0.500 0.000 0.500
0.000 0.500 0.500
0.500 0.500 0.000
0.000 0.000 0.000
0.500 0.500 0.500
```

Calculated values
Spin magnetization, Bohr magnetons per cell: 0.00

---

#2
VASP calculation (PBE-GGA) on crystalline TmSn4 at its relaxed geometry.

```
TmSn4
1.0
5.891 0.000 0.000
0.000 5.780 -0.495
0.000 -2.488 8.102
Sn Tm
8 2
Direct
0.534 0.199 0.915
0.398 0.401 0.309
0.602 0.599 0.691
0.102 0.401 0.809
0.034 0.801 0.585
0.466 0.801 0.085
0.966 0.199 0.415
0.898 0.599 0.191
0.500 0.000 0.500
0.000 0.000 0.000
```

Calculated values
Spin magnetization, Bohr magnetons per cell: 0.00

---

#3
VASP calculation (PBE-GGA) on crystalline TmSn4 at its relaxed geometry.

```
TmSn4
1.0
-0.833 -4.474 -0.276
2.699 -0.857 5.748
-9.055 3.931 1.266
Sn Tm
8 2
Direct
0.097 0.347 0.194
0.903 0.653 0.806
0.309 0.311 0.618
0.691 0.689 0.382
0.500 0.500 0.000
0.691 0.194 0.382
0.309 0.806 0.618
0.500 0.000 0.000
0.089 0.839 0.177
0.911 0.161 0.823
```

Calculated values
Spin magnetization, Bohr magnetons per cell: 0.00

---

#3 comes first in stability; the runner-up is 6.7 kJ/mol of atoms higher.

---

#1
VASP calculation (PBE-GGA) on crystalline Y2TmSn at its relaxed geometry.

```
Y2TmSn
1.0
3.509 0.000 0.000
1.755 3.039 0.000
1.755 1.013 11.874
Y Tm Sn
2 1 1
Direct
0.913 0.913 0.262
0.087 0.087 0.738
0.500 0.500 0.500
0.000 0.000 0.000
```

Calculated values
Spin magnetization, Bohr magnetons per cell: 0.00

---

#2
VASP calculation (PBE-GGA) on crystalline Y2TmSn at its relaxed geometry.

```
Y2TmSn
1.0
-0.414 -0.081 4.769
-3.083 -3.678 -0.330
3.669 -3.099 0.266
Sn Y Tm
1 2 1
Direct
0.500 0.000 0.000
0.000 0.500 0.000
0.000 0.000 0.500
0.500 0.500 0.500
```

Calculated values
Spin magnetization, Bohr magnetons per cell: 0.36

---

#2 comes first in stability; the runner-up is 43.8 kJ/mol of atoms higher.

---

#1
VASP calculation (PBE-GGA) on crystalline U4Sn at its relaxed geometry.

```
U4Sn
1.0
-4.311 2.053 3.082
-3.699 -2.606 -3.439
0.171 -4.614 3.313
U Sn
4 1
Direct
0.500 0.000 0.500
0.000 0.500 0.500
0.000 0.000 0.000
0.500 0.500 0.000
0.500 0.500 0.500
```

Calculated values
Spin magnetization, Bohr magnetons per cell: 15.00

---

#2
VASP calculation (PBE-GGA) on crystalline U4Sn at its relaxed geometry.

```
U4Sn
1.0
4.913 0.001 -1.220
-0.317 4.889 -1.275
-1.300 -1.335 5.229
U Sn
4 1
Direct
0.750 0.250 0.500
0.250 0.750 0.500
0.353 0.353 0.706
0.647 0.647 0.294
0.000 0.000 0.000
```

Calculated values
Spin magnetization, Bohr magnetons per cell: 0.00

---

#2 comes first in stability; the runner-up is 157.1 kJ/mol of atoms higher.

---

#1
VASP calculation (PBE-GGA) on crystalline UZn2Sn at its relaxed geometry.

```
UZn2Sn
1.0
4.872 0.000 0.000
2.436 4.219 0.000
2.436 1.406 3.980
U Zn Sn
1 2 1
Direct
0.500 0.500 0.500
0.750 0.750 0.750
0.250 0.250 0.250
0.000 0.000 0.000
```

Calculated values
Spin magnetization, Bohr magnetons per cell: 2.34

---

#2
VASP calculation (PBE-GGA) on crystalline UZn2Sn at its relaxed geometry.

```
UZn2Sn
1.0
4.385 0.000 0.000
0.000 4.403 0.000
0.000 0.000 4.403
Sn U Zn
1 1 2
Direct
0.500 0.000 0.000
0.500 0.500 0.500
0.000 0.500 0.000
0.000 0.000 0.500
```

Calculated values
Spin magnetization, Bohr magnetons per cell: 2.69

---

#2 comes first in stability; the runner-up is 9.3 kJ/mol of atoms higher.

---

#1
VASP calculation (PBE-GGA) on crystalline V8Sn at its relaxed geometry.

```
V8Sn
1.0
4.430 0.000 0.000
2.215 5.432 0.000
2.215 0.000 5.432
V Sn
8 1
Direct
0.333 0.334 0.000
0.000 0.657 0.343
0.000 0.343 0.657
0.333 0.000 0.334
0.657 0.343 0.343
0.343 0.657 0.657
0.667 0.000 0.666
0.667 0.666 0.000
0.000 0.000 0.000
```

Calculated values
Spin magnetization, Bohr magnetons per cell: 0.00

---

#2
VASP calculation (PBE-GGA) on crystalline V8Sn at its relaxed geometry.

```
V8Sn
1.0
2.980 0.000 0.780
1.490 6.497 0.390
-0.155 0.000 6.675
V Sn
8 1
Direct
0.321 0.000 0.358
0.000 0.340 0.660
0.679 0.642 0.000
0.660 0.340 0.340
0.340 0.660 0.660
0.321 0.358 0.000
0.679 0.000 0.642
0.000 0.660 0.340
0.000 0.000 0.000
```

Calculated values
Spin magnetization, Bohr magnetons per cell: 0.00

---

#2 comes first in stability; the runner-up is 13.0 kJ/mol of atoms higher.